A plane-wave DFT calculation with GGA-PBE was carried out for a relaxed structure of Ce2DyBi3.

a b c (Å): 9.1151 12.8982 27.3700
angles (deg): 90.00 90.00 90.00
Space group Fddd (No. 70, origin choice 2)
Unique sites:
Ce (0.1250, 0.1250, 0.0424) [16 per cell]
Ce (0.1250, 0.1250, 0.3742) [16 per cell]
Dy (0.1250, 0.1250, 0.5415) [16 per cell]
Bi (0.1191, 0.3750, 0.8750) [16 per cell]
Bi (0.1221, 0.3728, 0.7092) [32 per cell]

Properties
**M_tot**: 28.3 μB/cell
**E_tot**: -527.7 eV for the cell shown
**Crystal system**: orthorhombic
**Energy relative to the elements**: -4.87 eV/f.u.

A plane-wave DFT calculation with GGA-PBE was carried out for a relaxed structure of CeDy2Bi.

a b c (Å): 3.5954 3.5954 32.9038
angles (deg): 90.00 90.00 120.00
Space group R3m (No. 160, hexagonal axes)
Unique sites:
Ce (0.0000, 0.0000, 0.0000) [3 per cell]
Dy (0.0000, 0.0000, 0.2459) [3 per cell]
Dy (0.0000, 0.0000, 0.4202) [3 per cell]
Bi (0.0000, 0.0000, 0.8332) [3 per cell]

Properties
**E above lowest polymorph**: 206.6 meV per atom
**M_tot**: 3.9 μB/cell
**E_tot**: -58.6 eV for the cell shown
**Crystal system**: trigonal
**Energy relative to the elements**: -0.52 eV/f.u.

A plane-wave DFT calculation with GGA-PBE was carried out for a relaxed structure of CeDy4Bi5.

a b c (Å): 4.5020 6.3653 22.4975
angles (deg): 90.00 90.00 90.00
Space group Immm (No. 71)
Unique sites:
Ce (0.0000, 0.0000, 0.0000) [2 per cell]
Dy (0.0000, 0.0000, 0.2021) [4 per cell]
Dy (0.0000, 0.0000, 0.3992) [4 per cell]
Bi (0.0000, 0.5000, 0.0000) [2 per cell]
Bi (0.0000, 0.5000, 0.1996) [4 per cell]
Bi (0.0000, 0.5000, 0.3977) [4 per cell]

Properties
**M_tot**: 1.5 μB/cell
**E_tot**: -104.4 eV for the cell shown
**Crystal system**: orthorhombic
**Energy relative to the elements**: -8.44 eV/f.u.

A plane-wave DFT calculation with GGA-PBE was carried out for a relaxed structure of Ce3DyEr2Bi6.

a b c (Å): 7.8521 13.5994 7.8402
angles (deg): 90.00 109.50 90.00
Space group C2/m (No. 12)
Unique sites:
Ce (0.0000, 0.0000, 0.0000) [2 per cell]
Ce (0.0000, 0.3339, 0.0000) [4 per cell]
Dy (0.0000, 0.5000, 0.5000) [2 per cell]
Er (0.0000, 0.1669, 0.5000) [4 per cell]
Bi (0.2457, 0.0000, 0.7411) [4 per cell]
Bi (0.2479, 0.3328, 0.7418) [8 per cell]

Properties
**M_tot**: 5.3 μB/cell
**E_tot**: -129.1 eV for the cell shown
**Crystal system**: monoclinic
**Energy relative to the elements**: -9.73 eV/f.u.

A plane-wave DFT calculation with GGA-PBE was carried out for a relaxed structure of Ce2DyErBi4.

a b c (Å): 7.8472 4.5334 7.8527
angles (deg): 90.00 109.48 90.00
Space group P2/m (No. 10)
Unique sites:
Ce (0.0000, 0.0000, 0.0000) [1 per cell]
Ce (0.0000, 0.5000, 0.5000) [1 per cell]
Dy (0.5000, 0.0000, 0.5000) [1 per cell]
Er (0.5000, 0.5000, 0.0000) [1 per cell]
Bi (0.2584, 0.0000, 0.7537) [2 per cell]
Bi (0.2577, 0.5000, 0.2517) [2 per cell]

Properties
**M_tot**: 1.7 μB/cell
**E_tot**: -43.1 eV for the cell shown
**Crystal system**: monoclinic
**Energy relative to the elements**: -6.52 eV/f.u.

A plane-wave DFT calculation with GGA-PBE was carried out for a relaxed structure of CeDyHgBi.

a b c (Å): 7.6817 7.6817 7.6817
angles (deg): 90.00 90.00 90.00
Space group F-43m (No. 216)
Unique sites:
Ce (0.0000, 0.0000, 0.0000) [4 per cell]
Dy (0.0000, 0.0000, 0.5000) [4 per cell]
Hg (0.2500, 0.2500, 0.2500) [4 per cell]
Bi (0.2500, 0.2500, 0.7500) [4 per cell]

Properties
**M_tot**: 6.3 μB/cell
**E_tot**: -66.4 eV for the cell shown
**Crystal system**: cubic
**Energy relative to the elements**: -1.87 eV/f.u.

A plane-wave DFT calculation with GGA-PBE was carried out for a relaxed structure of CeDy2HoBi4.

a b c (Å): 7.7975 4.5093 7.8005
angles (deg): 90.00 109.46 90.00
Space group P2/m (No. 10)
Unique sites:
Ce (0.0000, 0.0000, 0.0000) [1 per cell]
Dy (0.0000, 0.5000, 0.5000) [1 per cell]
Dy (0.5000, 0.0000, 0.5000) [1 per cell]
Ho (0.5000, 0.5000, 0.0000) [1 per cell]
Bi (0.2527, 0.0000, 0.7487) [2 per cell]
Bi (0.2548, 0.5000, 0.2541) [2 per cell]

Properties
**M_tot**: 0.8 μB/cell
**E_tot**: -41.9 eV for the cell shown
**Crystal system**: monoclinic
**Energy relative to the elements**: -6.68 eV/f.u.

A plane-wave DFT calculation with GGA-PBE was carried out for a relaxed structure of CeDyInBi.

a b c (Å): 7.7367 7.7367 7.7367
angles (deg): 90.00 90.00 90.00
Space group F-43m (No. 216)
Unique sites:
Ce (0.0000, 0.0000, 0.0000) [4 per cell]
Dy (0.0000, 0.0000, 0.5000) [4 per cell]
In (0.2500, 0.2500, 0.2500) [4 per cell]
Bi (0.2500, 0.2500, 0.7500) [4 per cell]

Properties
**M_tot**: 6.7 μB/cell
**E_tot**: -75.5 eV for the cell shown
**Crystal system**: cubic
**Energy relative to the elements**: -1.72 eV/f.u.

A plane-wave DFT calculation with GGA-PBE was carried out for a relaxed structure of La2CeDyBi5.

a b c (Å): 5.4524 5.4524 12.0876
angles (deg): 90.00 90.00 90.00
Space group P4/mmm (No. 123)
Unique sites:
La (0.0000, 0.0000, 0.2191) [2 per cell]
Ce (0.5000, 0.5000, 0.5000) [1 per cell]
Dy (0.5000, 0.5000, 0.0000) [1 per cell]
Bi (0.0000, 0.0000, 0.5000) [1 per cell]
Bi (0.0000, 0.5000, 0.0000) [2 per cell]
Bi (0.5000, 0.5000, 0.2516) [2 per cell]

Properties
**M_tot**: 0.7 μB/cell
**E_tot**: -42.2 eV for the cell shown
**Crystal system**: tetragonal
**Energy relative to the elements**: -2.42 eV/f.u.

A plane-wave DFT calculation with GGA-PBE was carried out for a relaxed structure of CeDyMgBi.

a b c (Å): 7.7133 7.7133 7.7133
angles (deg): 90.00 90.00 90.00
Space group F-43m (No. 216)
Unique sites:
Ce (0.0000, 0.0000, 0.0000) [4 per cell]
Dy (0.0000, 0.0000, 0.5000) [4 per cell]
Mg (0.2500, 0.2500, 0.7500) [4 per cell]
Bi (0.2500, 0.2500, 0.2500) [4 per cell]

Properties
**M_tot**: 4.9 μB/cell
**E_tot**: -68.3 eV for the cell shown
**Crystal system**: cubic
**Energy relative to the elements**: -1.06 eV/f.u.

A plane-wave DFT calculation with GGA-PBE was carried out for a relaxed structure of CeDyBiN2.

a b c (Å): 5.5853 14.4894 5.6056
angles (deg): 90.00 90.00 90.00
Space group Cmcm (No. 63)
Unique sites:
Ce (0.0000, 0.0730, 0.2500) [4 per cell]
Dy (0.0000, 0.4270, 0.2500) [4 per cell]
Bi (0.0000, 0.2510, 0.7500) [4 per cell]
N (0.2433, 0.0000, 0.0000) [8 per cell]

Properties
**M_tot**: 0.0 μB/cell
**E_tot**: -146.6 eV for the cell shown
**Crystal system**: orthorhombic
**Raw formation energy**: -1.115 eV/atom

A plane-wave DFT calculation with GGA-PBE was carried out for a relaxed structure of Ce2NdDy3Bi6.

a b c (Å): 19.7743 4.5425 9.0800
angles (deg): 90.00 103.24 90.00
Space group C2/m (No. 12)
Unique sites:
Ce (0.1665, 0.0000, 0.3325) [4 per cell]
Nd (0.0000, 0.5000, 0.0000) [2 per cell]
Dy (0.0000, 0.5000, 0.5000) [2 per cell]
Dy (0.1659, 0.0000, 0.8336) [4 per cell]
Bi (0.0012, 0.0000, 0.7445) [4 per cell]
Bi (0.1652, 0.5000, 0.5870) [4 per cell]
Bi (0.1688, 0.5000, 0.0800) [4 per cell]

Properties
**M_tot**: 3.3 μB/cell
**E_tot**: -127.9 eV for the cell shown
**Crystal system**: monoclinic
**Energy relative to the elements**: -10.22 eV/f.u.

A plane-wave DFT calculation with GGA-PBE was carried out for a relaxed structure of CeNd2DyBi4.

a b c (Å): 7.9147 4.5766 7.9257
angles (deg): 90.00 109.44 90.00
Space group P2/m (No. 10)
Unique sites:
Ce (0.0000, 0.0000, 0.0000) [1 per cell]
Nd (0.0000, 0.5000, 0.5000) [1 per cell]
Nd (0.5000, 0.0000, 0.5000) [1 per cell]
Dy (0.5000, 0.5000, 0.0000) [1 per cell]
Bi (0.2511, 0.5000, 0.2453) [2 per cell]
Bi (0.2547, 0.0000, 0.7570) [2 per cell]

Properties
**M_tot**: 0.8 μB/cell
**E_tot**: -42.7 eV for the cell shown
**Crystal system**: monoclinic
**Energy relative to the elements**: -7.10 eV/f.u.

A plane-wave DFT calculation with GGA-PBE was carried out for a relaxed structure of CeNd2DyBi5.

a b c (Å): 5.5737 5.5737 11.8966
angles (deg): 90.00 90.00 90.00
Space group P4/mmm (No. 123)
Unique sites:
Ce (0.0000, 0.0000, 0.0000) [1 per cell]
Nd (0.5000, 0.5000, 0.2233) [2 per cell]
Dy (0.0000, 0.0000, 0.5000) [1 per cell]
Bi (0.0000, 0.0000, 0.2548) [2 per cell]
Bi (0.0000, 0.5000, 0.0000) [2 per cell]
Bi (0.5000, 0.5000, 0.5000) [1 per cell]

Properties
**M_tot**: 0.0 μB/cell
**E_tot**: -40.0 eV for the cell shown
**Crystal system**: tetragonal
**Energy relative to the elements**: -0.57 eV/f.u.

A plane-wave DFT calculation with GGA-PBE was carried out for a relaxed structure of Ce2NdDyBi4.

a b c (Å): 7.9147 4.5689 7.9291
angles (deg): 90.00 109.44 90.00
Space group P2/m (No. 10)
Unique sites:
Ce (0.0000, 0.0000, 0.0000) [1 per cell]
Ce (0.5000, 0.5000, 0.0000) [1 per cell]
Nd (0.0000, 0.5000, 0.5000) [1 per cell]
Dy (0.5000, 0.0000, 0.5000) [1 per cell]
Bi (0.2540, 0.0000, 0.7493) [2 per cell]
Bi (0.2554, 0.5000, 0.2538) [2 per cell]

Properties
**M_tot**: 1.7 μB/cell
**E_tot**: -43.5 eV for the cell shown
**Crystal system**: monoclinic
**Energy relative to the elements**: -6.77 eV/f.u.

A plane-wave DFT calculation with GGA-PBE was carried out for a relaxed structure of CeDyBiPb.

a b c (Å): 7.8027 7.8027 7.8027
angles (deg): 90.00 90.00 90.00
Space group F-43m (No. 216)
Unique sites:
Ce (0.0000, 0.0000, 0.0000) [4 per cell]
Dy (0.0000, 0.0000, 0.5000) [4 per cell]
Bi (0.2500, 0.2500, 0.2500) [4 per cell]
Pb (0.2500, 0.2500, 0.7500) [4 per cell]

Properties
**M_tot**: 5.0 μB/cell
**E_tot**: -79.9 eV for the cell shown
**Crystal system**: cubic
**Energy relative to the elements**: -1.84 eV/f.u.

A plane-wave DFT calculation with GGA-PBE was carried out for a relaxed structure of CePm2DyBi4.

a b c (Å): 7.8888 4.5612 7.8990
angles (deg): 90.00 109.44 90.00
Space group P2/m (No. 10)
Unique sites:
Ce (0.0000, 0.0000, 0.0000) [1 per cell]
Pm (0.0000, 0.5000, 0.5000) [1 per cell]
Pm (0.5000, 0.0000, 0.5000) [1 per cell]
Dy (0.5000, 0.5000, 0.0000) [1 per cell]
Bi (0.2519, 0.5000, 0.2473) [2 per cell]
Bi (0.2541, 0.0000, 0.7550) [2 per cell]

Properties
**M_tot**: 0.8 μB/cell
**E_tot**: -42.6 eV for the cell shown
**Crystal system**: monoclinic
**Energy relative to the elements**: -7.06 eV/f.u.

A plane-wave DFT calculation with GGA-PBE was carried out for a relaxed structure of Ce2PmDyBi4.

a b c (Å): 7.9052 4.5666 7.9102
angles (deg): 90.00 109.48 90.00
Space group P2/m (No. 10)
Unique sites:
Ce (0.0000, 0.0000, 0.0000) [1 per cell]
Ce (0.0000, 0.5000, 0.5000) [1 per cell]
Pm (0.5000, 0.0000, 0.5000) [1 per cell]
Dy (0.5000, 0.5000, 0.0000) [1 per cell]
Bi (0.2520, 0.5000, 0.2474) [2 per cell]
Bi (0.2544, 0.0000, 0.7547) [2 per cell]

Properties
**M_tot**: 1.7 μB/cell
**E_tot**: -43.5 eV for the cell shown
**Crystal system**: monoclinic
**Energy relative to the elements**: -6.77 eV/f.u.

A plane-wave DFT calculation with GGA-PBE was carried out for a relaxed structure of CePmDy2Bi4.

a b c (Å): 7.8423 4.5354 7.8555
angles (deg): 90.00 109.43 90.00
Space group P2/m (No. 10)
Unique sites:
Ce (0.0000, 0.0000, 0.0000) [1 per cell]
Pm (0.0000, 0.5000, 0.5000) [1 per cell]
Dy (0.5000, 0.0000, 0.5000) [1 per cell]
Dy (0.5000, 0.5000, 0.0000) [1 per cell]
Bi (0.2565, 0.0000, 0.7527) [2 per cell]
Bi (0.2566, 0.5000, 0.2521) [2 per cell]

Properties
**M_tot**: 0.8 μB/cell
**E_tot**: -42.3 eV for the cell shown
**Crystal system**: monoclinic
**Energy relative to the elements**: -6.90 eV/f.u.

A plane-wave DFT calculation with GGA-PBE was carried out for a relaxed structure of CePr2DyBi5.

a b c (Å): 5.5798 5.5798 11.9159
angles (deg): 90.00 90.00 90.00
Space group P4/mmm (No. 123)
Unique sites:
Ce (0.0000, 0.0000, 0.0000) [1 per cell]
Pr (0.5000, 0.5000, 0.2225) [2 per cell]
Dy (0.0000, 0.0000, 0.5000) [1 per cell]
Bi (0.0000, 0.0000, 0.2548) [2 per cell]
Bi (0.0000, 0.5000, 0.0000) [2 per cell]
Bi (0.5000, 0.5000, 0.5000) [1 per cell]

Properties
**M_tot**: 0.0 μB/cell
**E_tot**: -40.3 eV for the cell shown
**Crystal system**: tetragonal
**Energy relative to the elements**: -0.84 eV/f.u.

V, record by record: 33.52 30.70 32.24 32.88 32.92 28.33 32.33 28.94 39.93 28.68 22.68 33.08 33.84 41.07 33.80 29.69 33.50 33.65 32.94 41.22 Å³/atom